Crystalline HfAl2Ir at its relaxed geometry. Source: Alexandria via LeMat-Bulk, functional PBE.

SG	No. 123
formation energy from the elements	-248	kJ/mol of formula units
crystal system	tetragonal

Cell and atoms, written as extended XYZ:
```
4
Lattice="4.0997 0.0000 0.0000 0.0000 3.9851 0.0000 0.0000 0.0000 3.9851" Properties=species:S:1:pos:R:3 pbc="T T T"
Al 0.0000 0.0000 1.9926
Al 0.0000 1.9926 0.0000
Hf 2.0499 0.0000 0.0000
Ir 2.0499 1.9926 1.9926
```

---

Crystalline Tb4SnTeC at its relaxed geometry. Source: Alexandria via LeMat-Bulk, functional PBE.

SG	No. 63
formation energy (no corrections)	-0.71	eV per atom
crystal system	orthorhombic

Cell and atoms, written as extended XYZ:
```
14
Lattice="-1.8246 5.8979 -2.9170 -5.9461 -0.1562 3.4036 4.2258 1.0294 7.4298" Properties=species:S:1:pos:R:3 pbc="T T T"
Tb -1.7744 3.6596 0.5177
Tb -0.8602 0.4366 5.4167
Tb -1.7705 3.1115 7.3988
Tb -3.8547 0.6091 3.6429
Tb 2.1129 0.5147 3.7149
Tb -1.7725 3.3855 3.9582
Tb 1.2006 3.4637 2.2564
Tb 0.3097 6.1620 4.2736
C -0.7314 4.9119 2.3974
C -2.8136 1.8592 5.5191
Te -4.6494 3.6993 2.3963
Te 1.1044 3.0718 5.5202
Sn -0.7699 0.8214 2.1424
Sn -2.7751 5.9497 5.7740
```